BeAgPS2: optimized geometry, PBE-GGA.

```
5
Lattice="4.544 0.000 0.000 0.000 4.544 0.000 0.000 0.000 4.113" Properties=species:S:1:pos:R:3 pbc="T T T"
Be 0.000 0.000 0.000
Ag 2.272 2.272 2.057
P 0.000 0.000 2.057
S 0.000 2.272 0.000
S 2.272 0.000 0.000
```

Computed properties:
Energy above the lowest structure with this stoichiometry ... 0.000 eV per atom
Energy relative to the elements, uncorrected ... 0.523 eV per atom

***

SrBe2AgP: optimized geometry, PBE-GGA.

```
5
Lattice="4.441 0.000 0.000 0.000 4.441 0.000 0.000 0.000 5.832" Properties=species:S:1:pos:R:3 pbc="T T T"
Sr 0.000 0.000 0.000
Be 0.000 2.220 2.916
Be 2.220 0.000 2.916
Ag 0.000 0.000 2.916
P 2.220 2.220 0.000
```

Computed properties:
Formation energy ... 583 meV per atom

***

ZrBeAg2P: optimized geometry, PBE-GGA.

```
5
Lattice="4.330 0.000 0.000 0.000 4.330 0.000 0.000 0.000 4.595" Properties=species:S:1:pos:R:3 pbc="T T T"
Zr 0.000 0.000 0.000
Be 2.165 2.165 2.298
Ag 0.000 2.165 2.298
Ag 2.165 0.000 2.298
P 2.165 2.165 0.000
```

Computed properties:
Formation energy ... 263 meV per atom

***

Be2AgPb: optimized geometry, PBE-GGA.

```
4
Lattice="-1.979 1.979 4.241 1.979 -1.979 4.241 1.979 1.979 -4.241" Properties=species:S:1:pos:R:3 pbc="T T T"
Be 0.000 0.000 0.000
Be 0.000 1.979 2.121
Ag 0.000 0.000 4.241
Pb 1.979 0.000 2.121
```

Computed properties:
Formation energy ... 664 meV per atom

***

BeAg3Pb: optimized geometry, PBE-GGA.

```
5
Lattice="4.627 0.000 0.000 0.000 4.627 0.000 0.000 0.000 4.627" Properties=species:S:1:pos:R:3 pbc="T T T"
Be 0.000 0.000 0.000
Ag 0.000 0.000 2.314
Ag 0.000 2.314 0.000
Ag 2.314 0.000 0.000
Pb 2.314 2.314 2.314
```

Computed properties:
Energy above the lowest structure with this stoichiometry ... 0.000 eV per atom
Formation energy ... 271 meV per atom

***

BeAg4Pb: optimized geometry, PBE-GGA.

```
6
Lattice="0.000 3.916 3.916 3.916 0.000 3.916 3.916 3.916 0.000" Properties=species:S:1:pos:R:3 pbc="T T T"
Be 0.000 0.000 0.000
Ag 2.932 2.932 2.932
Ag 4.900 4.900 2.932
Ag 4.900 2.932 4.900
Ag 2.932 4.900 4.900
Pb 5.874 5.874 5.874
```

Computed properties:
Formation energy ... 409 meV per atom

***

DOS at the Fermi energy across the listed records, respectively: 0.64; 0.45; 0.60; 0.31; 0.47; 0.39 states/eV per atom.
E_tot across the listed records, respectively: -17.63; -14.48; -22.07; -11.36; -14.63; -16.39 eV for the cell shown.